RbBa2Si2: optimized geometry, PBE.

```
RbBa2Si2
1.0
5.7340 0.0000 0.0000
0.0000 5.7340 0.0000
2.8670 2.8670 6.0342
Si Ba Rb
2 2 1
direct
0.4030 0.4030 0.1940
0.5970 0.5970 0.8060
0.7500 0.2500 0.5000
0.2500 0.7500 0.5000
0.0000 0.0000 0.0000
```

Calculated values
calculated density	3.5	g/cm³
total DFT energy (no corrections)	-3.1221	eV per atom
uncorrected formation energy	10	meV per atom
SG	I4/mmm (139)
polymorph energy (0 for the lowest one)	147	meV/atom